## Cs2KCoO2 (GGA+U)

Data for Cs2KCoO2 after structural relaxation.

Summary:
DFT total energy: -47.43 eV/cell

```
Cs2KCoO2
1.0
4.4763 0.0000 0.0000
0.0000 6.2728 0.0000
0.0000 0.0000 11.5365
Cs K Co O
4 2 2 4
direct
0.5000 0.0869 0.2316
0.0000 0.5869 0.2684
0.5000 0.9131 0.7684
0.0000 0.4131 0.7316
0.5000 0.5000 0.0000
0.0000 0.0000 0.5000
0.0000 0.0000 0.0000
0.5000 0.5000 0.5000
0.5000 0.7312 0.4091
0.5000 0.2688 0.5909
0.0000 0.7688 0.9091
0.0000 0.2312 0.0909
```